Entry 1:
CaMn2Zn | PBE | optimized geometry

Cell: 2.9664 4.3211 6.0737 Å, 90.00 103.51 90.00°
Atoms (fractional coordinates):
Ca1 0.0000 0.0000 0.0000
Mn1 0.3043 0.5000 0.6906
Mn2 0.6957 0.5000 0.3094
Zn1 0.5000 0.0000 0.5000

Calculated values
Size of the total moment = 1.74 μB/atom
Final energy = -20.0 eV/cell
V = 18.9 Å³ per atom


Entry 2:
Ca2MnZn | PBE | optimized geometry

Cell: 5.6833 5.6833 5.6833 Å, 132.39 132.39 69.62°
Atoms (fractional coordinates):
Ca1 0.0000 0.0000 0.0000
Ca2 0.7500 0.2500 0.5000
Mn1 0.2500 0.7500 0.5000
Zn1 0.5000 0.5000 0.0000

Calculated values
Size of the total moment = 0.90 μB/atom
Final energy = -13.4 eV/cell
V = 24.6 Å³ per atom


Entry 3:
CaMn4Zn | PBE | optimized geometry

Cell: 4.8977 4.8977 4.8977 Å, 60.00 60.00 60.00°
Atoms (fractional coordinates):
Ca1 0.0000 0.0000 0.0000
Mn1 0.3765 0.3765 0.3765
Mn2 0.3765 0.3765 0.8704
Mn3 0.3765 0.8704 0.3765
Mn4 0.8704 0.3765 0.3765
Zn1 0.7500 0.7500 0.7500

Calculated values
Size of the total moment = 0.00 μB/atom
Final energy = -37.3 eV/cell
V = 13.8 Å³ per atom


Entry 4:
CaMnZn3 | PBE | optimized geometry

Cell: 5.4864 5.4864 5.4864 Å, 90.00 90.00 90.00°
Atoms (fractional coordinates):
Ca1 0.0000 0.0000 0.0000
Mn1 0.5000 0.5000 0.5000
Zn1 0.0000 0.0000 0.5000
Zn2 0.0000 0.5000 0.0000
Zn3 0.5000 0.0000 0.0000

Calculated values
Excess energy over the best structure of this formula in the dataset = 967.8 meV per atom
Size of the total moment = 0.82 μB/atom
V = 33.0 Å³ per atom


Entry 5:
Ca2MnZn2 | PBE | optimized geometry

Cell: 6.7896 6.7896 4.7279 Å, 90.00 90.00 90.00°
Atoms (fractional coordinates):
Ca1 0.1795 0.3205 0.0000
Ca2 0.3205 0.8205 0.0000
Ca3 0.6795 0.1795 0.0000
Ca4 0.8205 0.6795 0.0000
Mn1 0.0000 0.0000 0.5000
Mn2 0.5000 0.5000 0.5000
Zn1 0.1393 0.6393 0.5000
Zn2 0.3607 0.1393 0.5000
Zn3 0.6393 0.8607 0.5000
Zn4 0.8607 0.3607 0.5000

Calculated values
Size of the total moment = 0.01 μB/atom
Final energy = -28.4 eV/cell
V = 21.8 Å³ per atom


Entry 6:
CaMnZn3 | PBE | optimized geometry

Cell: 4.7310 4.7310 4.7310 Å, 90.00 90.00 90.00°
Atoms (fractional coordinates):
Ca1 0.0000 0.0000 0.0000
Mn1 0.5000 0.5000 0.5000
Zn1 0.0000 0.5000 0.5000
Zn2 0.5000 0.0000 0.5000
Zn3 0.5000 0.5000 0.0000

Calculated values
Excess energy over the best structure of this formula in the dataset = 0.0 meV per atom
Size of the total moment = 0.41 μB/atom
V = 21.2 Å³ per atom


Entry 7:
Ca3MnZn | PBE | optimized geometry

Cell: 5.4837 5.4837 5.4837 Å, 90.00 90.00 90.00°
Atoms (fractional coordinates):
Ca1 0.0000 0.0000 0.5000
Ca2 0.0000 0.5000 0.0000
Ca3 0.5000 0.0000 0.0000
Mn1 0.0000 0.0000 0.0000
Zn1 0.5000 0.5000 0.5000

Calculated values
Excess energy over the best structure of this formula in the dataset = 43.6 meV per atom
Size of the total moment = 0.47 μB/atom
V = 33.0 Å³ per atom


Entry 8:
Ca2MnZn | PBE | optimized geometry

Cell: 3.7539 3.6754 7.2572 Å, 90.00 90.07 90.00°
Atoms (fractional coordinates):
Ca1 0.9999 0.0000 0.2475
Ca2 0.0001 0.0000 0.7525
Mn1 0.5000 0.5000 0.5000
Zn1 0.5000 0.5000 0.0000

Calculated values
Size of the total moment = 0.97 μB/atom
Final energy = -13.8 eV/cell
V = 25.0 Å³ per atom


Entry 9:
Ca2MnZn | PBE | optimized geometry

Cell: 3.5033 3.5033 8.3985 Å, 90.00 90.00 90.00°
Atoms (fractional coordinates):
Ca1 0.0000 0.0000 0.0000
Ca2 0.5000 0.5000 0.3749
Mn1 0.0000 0.0000 0.6310
Zn1 0.5000 0.5000 0.7530

Calculated values
Size of the total moment = 0.98 μB/atom
Final energy = -14.0 eV/cell
V = 25.8 Å³ per atom


Entry 10:
Ca2MnZn | PBE | optimized geometry

Cell: 6.2263 6.2263 6.2263 Å, 145.70 131.32 60.90°
Atoms (fractional coordinates):
Ca1 0.0000 0.0000 0.0000
Ca2 0.7109 0.2109 0.5000
Mn1 0.2840 0.7840 0.5000
Zn1 0.4532 0.4532 0.0000

Calculated values
Size of the total moment = 0.84 μB/atom
Final energy = -13.9 eV/cell
V = 25.3 Å³ per atom


Entry 11:
Ca2MnZn | PBE | optimized geometry

Cell: 5.0972 5.0972 5.0972 Å, 60.00 60.00 60.00°
Atoms (fractional coordinates):
Ca1 0.0000 0.0000 0.0000
Ca2 0.2500 0.2500 0.2500
Mn1 0.7500 0.7500 0.7500
Zn1 0.5000 0.5000 0.5000

Calculated values
Size of the total moment = 1.10 μB/atom
Final energy = -13.4 eV/cell
V = 23.4 Å³ per atom


Entry 12:
Ca2MnZn | PBE | optimized geometry

Cell: 5.1926 5.1926 3.7319 Å, 90.00 90.00 90.00°
Atoms (fractional coordinates):
Ca1 0.0000 0.5000 0.0000
Ca2 0.5000 0.0000 0.0000
Mn1 0.0000 0.0000 0.5000
Zn1 0.5000 0.5000 0.5000

Calculated values
Size of the total moment = 1.00 μB/atom
Final energy = -13.8 eV/cell
V = 25.2 Å³ per atom